Compound: Ac7RhAu4
Source: Alexandria via LeMat-Bulk
Functional: PBE-GGA
Structure: relaxed

Results
For the density, the calculation gives 9732 kg/m³. The symmetry is Cm. As for the formation energy: -0.6447 eV/atom.

a = 7.6111 Å, b = 7.6111 Å, c = 14.2126 Å
α = 108.19°, β = 108.19°, γ = 32.92°
Closest atoms and distances in Å follow each position.
Atoms (fractional coordinates):
Ac  0.0000  0.0000  0.0000  1 Rh 2.97, 3 Au 3.23-3.24
Ac  0.0710  0.0710  0.5771  4 Au 3.16-3.20
Ac  0.2783  0.2783  0.4143  1 Rh 3.00, 4 Au 3.19-3.32
Ac  0.3734  0.3734  0.7163  4 Au 3.18-3.24
Ac  0.5191  0.5191  0.2600  2 Rh 2.98, 2 Au 3.23
Ac  0.7084  0.7084  0.8573  4 Au 3.16-3.33
Ac  0.7502  0.7502  0.1500  2 Rh 3.01, 3 Au 3.19-3.37
Rh  0.1353  0.1353  0.2077  6 Ac 2.97-3.01
Au  0.0416  0.0416  0.7900  6 Ac 3.16-3.23
Au  0.3436  0.3436  0.0236  7 Ac 3.24-3.50
Au  0.7304  0.7304  0.5700  6 Ac 3.20-3.32
Au  0.9158  0.9158  0.3622  6 Ac 3.16-3.23

***

Compound: Ac8Rh4Au
Source: Alexandria via LeMat-Bulk
Functional: PBE-GGA
Structure: relaxed

Results
For the density, the calculation gives 8254 kg/m³. The symmetry is Cm. As for the formation energy: -0.5583 eV/atom.

a = 10.7485 Å, b = 10.7485 Å, c = 14.8593 Å
α = 133.57°, β = 133.57°, γ = 23.59°
Closest atoms and distances in Å follow each position.
Atoms (fractional coordinates):
Ac  0.0000  0.0000  0.0000  3 Rh 2.94-2.96
Ac  0.0125  0.0125  0.7375  3 Rh 3.03-3.05, 2 Au 3.32
Ac  0.3043  0.3043  0.6656  3 Rh 2.97-3.00
Ac  0.3231  0.3231  0.4137  3 Rh 2.97-2.99, 1 Au 3.24
Ac  0.3450  0.3450  0.0378  3 Rh 2.95-2.98
Ac  0.6143  0.6143  0.3190  3 Rh 2.94-2.98
Ac  0.7014  0.7014  0.0890  3 Rh 2.94-2.95
Ac  0.9727  0.9727  0.3755  3 Rh 3.04-3.06, 2 Au 3.35
Rh  0.3322  0.3322  0.2231  6 Ac 2.94-3.04
Rh  0.5050  0.5050  0.8718  6 Ac 2.95-3.05
Rh  0.8095  0.8095  0.5364  6 Ac 2.94-3.03
Rh  0.9801  0.9801  0.1772  6 Ac 2.94-3.06
Au  0.5381  0.5381  0.5980  5 Ac 3.24-3.35

***

Compound: Ac6Rh2Au3
Source: Alexandria via LeMat-Bulk
Functional: PBE-GGA
Structure: relaxed

Results
For the density, the calculation gives 10042 kg/m³. The symmetry is I4/mmm. As for the formation energy: -0.5659 eV/atom.

a = 12.2395 Å, b = 12.2395 Å, c = 12.2395 Å
α = 153.80°, β = 153.80°, γ = 37.39°
Closest atoms and distances in Å follow each position.
Atoms (fractional coordinates):
Ac  0.0869  0.5869  0.5000  2 Rh 2.84
Ac  0.2091  0.2091  0.0000  1 Au 3.00
Ac  0.4131  0.9131  0.5000  2 Rh 2.84
Ac  0.5869  0.0869  0.5000  2 Rh 2.84
Ac  0.7909  0.7909  0.0000  1 Au 3.00
Ac  0.9131  0.4131  0.5000  2 Rh 2.84
Rh  0.0600  0.0600  0.0000  1 Rh 2.78, 4 Ac 2.84
Rh  0.9400  0.9400  0.0000  1 Rh 2.78, 4 Ac 2.84
Au  0.3384  0.3384  0.0000  5 Ac 3.00-3.27
Au  0.5000  0.5000  0.0000  8 Ac 3.43, 2 Au 3.75
Au  0.6616  0.6616  0.0000  5 Ac 3.00-3.27

***

Compound: Ac6RhAu3
Source: Alexandria via LeMat-Bulk
Functional: PBE-GGA
Structure: relaxed

Results
For the density, the calculation gives 9444 kg/m³. The symmetry is Cmc2_1. As for the formation energy: -0.5283 eV/atom.

a = 9.7759 Å, b = 9.7759 Å, c = 7.7696 Å
α = 90.00°, β = 90.00°, γ = 103.18°
Closest atoms and distances in Å follow each position.
Atoms (fractional coordinates):
Ac  0.0069  0.9931  0.5000  2 Rh 2.92-3.05, 2 Au 3.25
Ac  0.0969  0.5841  0.4264  1 Rh 2.91, 1 Au 3.20
Ac  0.2438  0.7562  0.9271  1 Rh 2.89
Ac  0.3120  0.3532  0.9302  4 Au 3.15-3.30
Ac  0.3532  0.3120  0.4302  4 Au 3.15-3.30
Ac  0.4159  0.9031  0.4264  1 Rh 2.91, 1 Au 3.20
Ac  0.5841  0.0969  0.9264  1 Rh 2.91, 1 Au 3.20
Ac  0.6468  0.6880  0.9302  4 Au 3.15-3.30
Ac  0.6880  0.6468  0.4302  4 Au 3.15-3.30
Ac  0.7562  0.2438  0.4271  1 Rh 2.89
Ac  0.9031  0.4159  0.9264  1 Rh 2.91, 1 Au 3.20
Ac  0.9931  0.0069  0.0000  2 Rh 2.92-3.05, 2 Au 3.25
Rh  0.1478  0.8522  0.2474  5 Ac 2.89-3.05
Rh  0.8522  0.1478  0.7474  5 Ac 2.89-3.05
Au  0.0679  0.2904  0.2318  7 Ac 3.15-3.51
Au  0.2904  0.0679  0.7318  7 Ac 3.15-3.51
Au  0.3976  0.6024  0.6412  7 Ac 3.22-3.35
Au  0.6024  0.3976  0.1412  7 Ac 3.22-3.35
Au  0.7096  0.9321  0.2318  7 Ac 3.15-3.51
Au  0.9321  0.7096  0.7318  7 Ac 3.15-3.51

***

Compound: AcRh2Au
Source: Alexandria via LeMat-Bulk
Functional: PBE-GGA
Structure: relaxed

Results
For the density, the calculation gives 13102 kg/m³. The symmetry is P4/mmm. As for the formation energy: -0.3520 eV/atom.

a = 4.4334 Å, b = 4.4334 Å, c = 4.0608 Å
α = 90.00°, β = 90.00°, γ = 90.00°
Closest atoms and distances in Å follow each position.
Atoms (fractional coordinates):
Ac  0.0000  0.0000  0.0000  8 Rh 3.01, 4 Au 3.13
Rh  0.0000  0.5000  0.5000  4 Ac 3.01, 4 Au 3.01, 4 Rh 3.13
Rh  0.5000  0.0000  0.5000  4 Ac 3.01, 4 Au 3.01, 4 Rh 3.13
Au  0.5000  0.5000  0.0000  8 Rh 3.01, 4 Ac 3.13

***

Compound: Ac5Rh2Au5
Source: Alexandria via LeMat-Bulk
Functional: PBE-GGA
Structure: relaxed

Results
For the density, the calculation gives 11526 kg/m³. The symmetry is C2/m. As for the formation energy: -0.7610 eV/atom.

a = 8.9503 Å, b = 8.9503 Å, c = 12.3473 Å
α = 131.41°, β = 131.41°, γ = 27.56°
Closest atoms and distances in Å follow each position.
Atoms (fractional coordinates):
Ac  0.0000  0.0000  0.0000  4 Rh 3.10, 2 Au 3.36
Ac  0.1117  0.1117  0.4124  2 Rh 3.03, 3 Au 3.24-3.38
Ac  0.1920  0.1920  0.8101  5 Au 3.15-3.24
Ac  0.8080  0.8080  0.1899  5 Au 3.15-3.24
Ac  0.8883  0.8883  0.5876  2 Rh 3.03, 3 Au 3.24-3.38
Rh  0.3767  0.3767  0.7505  3 Au 2.78-2.79, 4 Ac 3.03-3.10
Rh  0.6233  0.6233  0.2495  3 Au 2.78-2.79, 4 Ac 3.03-3.10
Au  0.2541  0.2541  0.3182  2 Rh 2.79
Au  0.4200  0.4200  0.1365  1 Rh 2.78
Au  0.5000  0.5000  0.5000  2 Au 3.20, 4 Ac 3.51
Au  0.5800  0.5800  0.8635  1 Rh 2.78
Au  0.7459  0.7459  0.6818  2 Rh 2.79

***

The records above yield spin magnetization values of 0.000, 0.000, 0.000, 0.000, 0.001, 0.000 μB per formula unit, respectively.